LiBr3 PBE optimized geometry; total magnetic moment = 0.00 μB/atom; DOS at the Fermi energy = 0.5347 states/eV per atom; E_form (uncorrected) = -435 meV/atom; V = 108.8 Å³ per cell
1.0
4.068 0.000 0.000
-2.034 3.523 0.000
0.000 0.000 7.596
Li Br
1 3
Direct
0.000 0.000 0.000
0.000 0.000 0.500
0.333 0.667 0.179
0.333 0.667 0.821

La2Zn12Au5 PBE optimized geometry; total magnetic moment = 0.00 μB/atom; ΔE_f = -5.90 eV per formula unit; DOS at the Fermi energy = 0.5062 states/eV per atom; V = 344.2 Å³ per cell
1.0
4.678 2.701 4.541
-4.678 2.701 4.541
0.000 -5.401 4.541
La Zn Au
2 12 5
Direct
0.162 0.162 0.162
0.838 0.838 0.838
0.149 0.149 0.667
0.149 0.667 0.149
0.206 0.500 0.794
0.206 0.794 0.500
0.333 0.851 0.851
0.500 0.206 0.794
0.500 0.794 0.206
0.667 0.149 0.149
0.794 0.206 0.500
0.794 0.500 0.206
0.851 0.333 0.851
0.851 0.851 0.333
0.000 0.500 0.500
0.396 0.396 0.396
0.500 0.000 0.500
0.500 0.500 0.000
0.604 0.604 0.604

Pu6Tc5 PBE optimized geometry; total magnetic moment = 0.70 μB/atom; ΔE_f = 1.91 eV per formula unit; DOS at the Fermi energy = 2.8866 states/eV per atom; V = 217.5 Å³ per cell
1.0
4.759 0.000 0.000
-0.008 6.521 0.000
-2.378 -2.427 7.009
Pu Tc
6 5
Direct
0.001 0.275 0.001
0.336 0.094 0.673
0.350 0.562 0.701
0.650 0.438 0.299
0.664 0.906 0.327
0.999 0.725 0.999
0.158 0.164 0.316
0.187 0.692 0.374
0.500 0.000 0.000
0.813 0.308 0.626
0.842 0.836 0.684